1.
KLaMg2Pt | PBE | relaxed

Values from the calculation:
* total moment: 0.00 μB per formula unit
* theoretical density: 4.4 g cm⁻³
* energy relative to the elements: -34.5 kJ per mole of atoms

```
data_KLaMg2Pt
_cell_length_a 5.370
_cell_length_b 5.370
_cell_length_c 5.470
_cell_angle_alpha 90.00
_cell_angle_beta 90.00
_cell_angle_gamma 90.00
_symmetry_space_group_name_H-M 'P 4/m m m'
_symmetry_Int_Tables_number 123
_symmetry_space_group_name_Hall '-P 4 2'
loop_
_atom_site_label
_atom_site_fract_x
_atom_site_fract_y
_atom_site_fract_z
_atom_site_occupancy
K1 0.000 0.000 0.000 1
La1 0.500 0.500 0.000 1
Mg1 0.000 0.500 0.500 1
Pt1 0.500 0.500 0.500 1
```

***

2.
Dy4Sb3S | PBE | relaxed

Values from the calculation:
* total moment: 0.00 μB per formula unit
* theoretical density: 7.8 g cm⁻³
* energy relative to the elements, uncorrected: -10.5 eV/f.u.

```
data_Dy4Sb3S
_cell_length_a 8.562
_cell_length_b 12.093
_cell_length_c 4.279
_cell_angle_alpha 90.00
_cell_angle_beta 90.00
_cell_angle_gamma 90.00
_symmetry_space_group_name_H-M 'C m m m'
_symmetry_Int_Tables_number 65
_symmetry_space_group_name_Hall '-C 2 2'
loop_
_atom_site_label
_atom_site_fract_x
_atom_site_fract_y
_atom_site_fract_z
_atom_site_occupancy
Dy1 0.000 0.243 0.000 1
Dy2 0.239 0.000 0.500 1
Sb1 0.000 0.500 0.000 1
Sb2 0.250 0.250 0.500 1
S1 0.000 0.000 0.000 1
```

***

3.
K3Mn2CuCl8 | PBE | relaxed

Values from the calculation:
* total moment: 9.99 μB per formula unit
* theoretical density: 2.4 g cm⁻³
* energy relative to the elements, uncorrected: -18.6 eV/f.u.

```
data_K3Mn2CuCl8
_cell_length_a 7.1477
_cell_length_b 7.1477
_cell_length_c 8.9631
_cell_angle_alpha 90.00
_cell_angle_beta 90.00
_cell_angle_gamma 120.00
_symmetry_space_group_name_H-M 'P -3 m 1'
_symmetry_Int_Tables_number 164
_symmetry_space_group_name_Hall '-P 3 2"'
loop_
_atom_site_label
_atom_site_fract_x
_atom_site_fract_y
_atom_site_fract_z
_atom_site_occupancy
K1 0.0000 0.0000 0.0000 1
K2 0.3333 0.6667 0.6164 1
Mn1 0.3333 0.6667 0.2075 1
Cu1 0.0000 0.0000 0.5000 1
Cl1 0.1617 0.3235 0.3237 1
Cl2 0.3333 0.6667 0.9526 1
```

***

4.
Np3As4Pd4 | PBE | relaxed

Values from the calculation:
* total moment: 4.57 μB per formula unit
* theoretical density: 11.6 g cm⁻³
* polymorph energy (0 for the lowest one): 140 meV per atom
* energy relative to the elements: -45.5 kJ per mole of atoms

```
data_Np3As4Pd4
_cell_length_a 8.187
_cell_length_b 4.004
_cell_length_c 12.590
_cell_angle_alpha 90.00
_cell_angle_beta 90.00
_cell_angle_gamma 90.00
_symmetry_space_group_name_H-M 'A m m 2'
_symmetry_Int_Tables_number 38
_symmetry_space_group_name_Hall 'A 2 -2'
loop_
_atom_site_label
_atom_site_fract_x
_atom_site_fract_y
_atom_site_fract_z
_atom_site_occupancy
Np1 0.000 0.000 0.000 1
Np2 0.254 0.000 0.104 1
As1 0.000 0.000 0.673 1
As2 0.253 0.000 0.436 1
As3 0.500 0.000 0.663 1
Pd1 0.000 0.000 0.314 1
Pd2 0.252 0.000 0.801 1
Pd3 0.500 0.000 0.312 1
```

***

5.
Pu2BiTe | PBE | relaxed

Values from the calculation:
* total moment: 10.98 μB per formula unit
* theoretical density: 10.7 g cm⁻³
* energy relative to the elements, uncorrected: -2.9 eV/f.u.
* polymorph energy (0 for the lowest one): 5 meV per atom

```
data_Pu2BiTe
_cell_length_a 4.5088
_cell_length_b 4.5088
_cell_length_c 21.8961
_cell_angle_alpha 90.00
_cell_angle_beta 90.00
_cell_angle_gamma 120.00
_symmetry_space_group_name_H-M 'R -3 m'
_symmetry_Int_Tables_number 166
_symmetry_space_group_name_Hall '-R 3 2"'
loop_
_atom_site_label
_atom_site_fract_x
_atom_site_fract_y
_atom_site_fract_z
_atom_site_occupancy
Pu1 0.0000 0.0000 0.2489 1
Bi1 0.0000 0.0000 0.0000 1
Te1 0.0000 0.0000 0.5000 1
```

***

6.
ScCl2 | PBE | relaxed

Values from the calculation:
* total moment: 0.03 μB per formula unit
* theoretical density: 3.2 g cm⁻³
* energy relative to the elements, uncorrected: -4.9 eV/f.u.

```
data_ScCl2
_cell_length_a 6.320
_cell_length_b 6.320
_cell_length_c 6.101
_cell_angle_alpha 90.00
_cell_angle_beta 90.00
_cell_angle_gamma 90.00
_symmetry_space_group_name_H-M 'I 4/m c m'
_symmetry_Int_Tables_number 140
_symmetry_space_group_name_Hall '-I 4 2c'
loop_
_atom_site_label
_atom_site_fract_x
_atom_site_fract_y
_atom_site_fract_z
_atom_site_occupancy
Sc1 0.000 0.000 0.250 1
Cl1 0.184 0.316 0.000 1
```

***

7.
Sm7Pt2Au2 | PBE | relaxed

Values from the calculation:
* total moment: 0.00 μB per formula unit
* theoretical density: 9.4 g cm⁻³
* polymorph energy (0 for the lowest one): 159 meV per atom
* energy relative to the elements: -55.7 kJ per mole of atoms

```
data_Sm7Pt2Au2
_cell_length_a 8.110
_cell_length_b 11.027
_cell_length_c 7.246
_cell_angle_alpha 90.00
_cell_angle_beta 90.00
_cell_angle_gamma 90.00
_symmetry_space_group_name_H-M 'C m m m'
_symmetry_Int_Tables_number 65
_symmetry_space_group_name_Hall '-C 2 2'
loop_
_atom_site_label
_atom_site_fract_x
_atom_site_fract_y
_atom_site_fract_z
_atom_site_occupancy
Sm1 0.000 0.000 0.000 1
Sm2 0.000 0.500 0.256 1
Sm3 0.250 0.250 0.262 1
Pt1 0.000 0.287 0.000 1
Au1 0.190 0.000 0.500 1
```

***

Question: What is the formula in the third record?
Answer: K3Mn2CuCl8

***

Question: Which of these has the highest theoretical density?
Answer: Np3As4Pd4

***

Question: What is the total moment in the second record?
Answer: 0.00 μB per formula unit